A plane-wave DFT calculation with GGA-PBE was carried out for a relaxed Ho7Er2Tm crystal.

Cell lengths 8.629, 16.894, 5.178 Å; angles 90.00, 90.00, 90.00 degrees
Space group Cmmm (No. 65)
Asymmetric unit:
Ho: 0.000 0.000 0.000
Ho: 0.000 0.303 0.500
Ho: 0.179 0.391 0.000
Er: 0.000 0.202 0.000
Tm: 0.000 0.500 0.500

**N(E_F)**: 23.311 states/eV per cell
**Calculated volume**: 37.74 Å³ per atom
**Uncorrected energy**: -3.8617 eV/atom
**Distance to the lowest polymorph of the same formula**: 0.680 eV/atom


A plane-wave DFT calculation with GGA-PBE was carried out for a relaxed SiSnP crystal.

Cell lengths 3.470, 7.177, 5.514 Å; angles 90.00, 90.00, 90.00 degrees
Space group Pmn2_1 (No. 31)
Asymmetric unit:
Si: 0.000 0.096 0.000
Sn: 0.000 0.411 0.273
P: 0.000 0.104 0.581

**N(E_F)**: 0.744 states/eV per cell
**Uncorrected formation energy**: -0.03 eV/f.u.
**Calculated volume**: 22.88 Å³ per atom
**Uncorrected energy**: -4.9558 eV/atom
**Distance to the lowest polymorph of the same formula**: 0.027 eV/atom


A plane-wave DFT calculation with GGA-PBE was carried out for a relaxed MgFe2Ag crystal.

Cell lengths 3.715, 3.734, 8.501 Å; angles 90.00, 90.00, 90.00 degrees
Space group Immm (No. 71)
Asymmetric unit:
Mg: 0.000 0.000 0.000
Fe: 0.000 0.500 0.250
Ag: 0.000 0.000 0.500

**N(E_F)**: 5.410 states/eV per cell
**Calculated volume**: 14.74 Å³ per atom
**Uncorrected energy**: -5.1021 eV/atom